VASP calculation (PBE-GGA) on a relaxed structure of BiPbSe2Cl.

Lattice parameters (Å, degrees): 5.383 6.536 5.383 90.00 90.00 90.00
Positions (direct):
Pb 0.000 0.500 0.000
Se 0.500 0.000 0.000
Se 0.000 0.000 0.500
Bi 0.000 0.000 0.000
Cl 0.500 0.500 0.500

Results
The space group is P4/mmm (123). The calculation puts the total magnetization at 0.00 μB/cell. The uncorrected formation energy comes out at 0.25 eV/atom. For the excess energy over the best structure of this formula in the dataset, the calculation gives 864 meV per atom.



VASP calculation (PBE-GGA) on a relaxed structure of BiPbSe2Cl.

Lattice parameters (Å, degrees): 4.195 7.779 11.839 63.39 90.00 90.00
Positions (direct):
Se 0.250 0.273 0.497
Se 0.750 0.727 0.503
Se 0.750 0.340 0.170
Cl 0.750 0.214 0.826
Se 0.250 0.660 0.830
Pb 0.750 0.740 0.967
Bi 0.250 0.486 0.650
Cl 0.250 0.786 0.174
Bi 0.750 0.514 0.350
Pb 0.250 0.260 0.033

Results
The space group is P2_1/m (11). The calculation puts the total magnetization at 0.00 μB/cell. The uncorrected formation energy comes out at -0.61 eV/atom. For the excess energy over the best structure of this formula in the dataset, the calculation gives 0 meV per atom.



VASP calculation (PBE-GGA) on a relaxed structure of SnBiPbCl.

Lattice parameters (Å, degrees): 5.448 5.448 5.448 60.00 60.00 60.00
Positions (direct):
Cl 0.500 0.500 0.500
Bi 0.000 0.000 0.000
Sn 0.250 0.250 0.250
Pb 0.750 0.750 0.750

Results
The space group is F-43m (216). The calculation puts the total magnetization at 0.00 μB/cell. The uncorrected formation energy comes out at -0.27 eV/atom.



VASP calculation (PBE-GGA) on a relaxed structure of Sr2BiPbCl.

Lattice parameters (Å, degrees): 6.477 5.887 6.477 90.00 90.00 90.00
Positions (direct):
Cl 0.500 0.500 0.500
Sr 0.000 0.000 0.500
Pb 0.000 0.500 0.000
Bi 0.000 0.000 0.000
Sr 0.500 0.000 0.000

Results
The space group is P4/mmm (123). The calculation puts the total magnetization at 0.00 μB/cell. The uncorrected formation energy comes out at -0.36 eV/atom.



VASP calculation (PBE-GGA) on a relaxed structure of TlBiPbCl.

Lattice parameters (Å, degrees): 5.518 5.518 5.518 60.00 60.00 60.00
Positions (direct):
Tl 0.250 0.250 0.250
Cl 0.500 0.500 0.500
Pb 0.750 0.750 0.750
Bi 0.000 0.000 0.000

Results
The space group is F-43m (216). The calculation puts the total magnetization at 0.00 μB/cell. The uncorrected formation energy comes out at -0.30 eV/atom.



VASP calculation (PBE-GGA) on a relaxed structure of Bi2Pd2Cl.

Lattice parameters (Å, degrees): 8.195 8.195 3.393 90.00 90.00 90.00
Positions (direct):
Pd 0.380 0.120 0.500
Cl 0.500 0.500 0.000
Bi 0.175 0.325 0.000
Cl 0.000 0.000 0.000
Bi 0.675 0.175 0.000
Pd 0.620 0.880 0.500
Bi 0.325 0.825 0.000
Pd 0.880 0.380 0.500
Bi 0.825 0.675 0.000
Pd 0.120 0.620 0.500

Results
The space group is P4/mbm (127). The calculation puts the total magnetization at 0.00 μB/cell. The uncorrected formation energy comes out at -0.22 eV/atom. For the excess energy over the best structure of this formula in the dataset, the calculation gives 116 meV per atom.



VASP calculation (PBE-GGA) on a relaxed structure of BiPdCl3.

Lattice parameters (Å, degrees): 5.449 5.449 5.449 90.00 90.00 90.00
Last column: magnetic moment on the atom in μB.
Positions (direct):
Pd 0.500 0.500 0.500  -0.09
Bi 0.000 0.000 0.000  0.02
Cl 0.000 0.500 0.000  0.00
Cl 0.500 0.000 0.000  0.00
Cl 0.000 0.000 0.500  0.00

Results
The space group is Pm-3m (221). The calculation puts the total magnetization at 0.07 μB/cell. The uncorrected formation energy comes out at -0.10 eV/atom. For the excess energy over the best structure of this formula in the dataset, the calculation gives 64 meV per atom.



VASP calculation (PBE-GGA) on a relaxed structure of BiPd2Cl6.

Lattice parameters (Å, degrees): 7.307 8.828 8.828 100.47 74.10 74.10
Positions (direct):
Cl 0.162 0.783 0.927
Cl 0.662 0.927 0.783
Pd 0.861 0.708 0.538
Cl 0.163 0.104 0.624
Cl 0.090 0.486 0.310
Cl 0.590 0.310 0.486
Cl 0.337 0.376 0.896
Cl 0.910 0.514 0.690
Cl 0.837 0.896 0.376
Cl 0.838 0.217 0.073
Pd 0.139 0.292 0.462
Bi 0.750 0.892 0.108
Cl 0.663 0.624 0.104
Cl 0.410 0.690 0.514
Bi 0.250 0.108 0.892
Pd 0.361 0.538 0.708
Cl 0.338 0.073 0.217
Pd 0.639 0.462 0.292

Results
The space group is C2/c (15). The calculation puts the total magnetization at 0.00 μB/cell. The uncorrected formation energy comes out at -0.53 eV/atom.



> Look up the total magnetization of the second one.

0.00 μB/cell



Repeat the seventh record exactly.
VASP calculation (PBE-GGA) on a relaxed structure of BiPdCl3.

Lattice parameters (Å, degrees): 5.449 5.449 5.449 90.00 90.00 90.00
Last column: magnetic moment on the atom in μB.
Positions (direct):
Pd 0.500 0.500 0.500  -0.09
Bi 0.000 0.000 0.000  0.02
Cl 0.000 0.500 0.000  0.00
Cl 0.500 0.000 0.000  0.00
Cl 0.000 0.000 0.500  0.00

Results
The space group is Pm-3m (221). The calculation puts the total magnetization at 0.07 μB/cell. The uncorrected formation energy comes out at -0.10 eV/atom. For the excess energy over the best structure of this formula in the dataset, the calculation gives 64 meV per atom.